(1)
Compound: KSc3Br
Source: Alexandria
Functional: meta-GGA SCAN
Structure: single point on PBEsol structure

a b c (Å): 5.2012 5.2012 5.2012
angles (deg): 90.00 90.00 90.00
Closest atoms and distances in Å follow each position.
Sites, in units of the cell vectors:
Br: 0.0000 0.0000 0.0000  6 Sc 2.60
Sc: 0.0000 0.0000 0.5000  2 Br 2.60
Sc: 0.5000 0.0000 0.0000  2 Br 2.60
K: 0.5000 0.5000 0.5000  12 Sc 3.68
Sc: 0.0000 0.5000 0.0000  2 Br 2.60

Summary:
M_tot, μB/f.u.: 0.01
ΔE_f (raw), eV per atom: 0.299
Electronic total energy, eV/cell: -69.0

---

(2)
Compound: CoTcAs3
Source: Alexandria
Functional: meta-GGA SCAN
Structure: single point on PBEsol structure

a b c (Å): 4.7142 4.7142 4.7142
angles (deg): 90.00 90.00 90.00
Closest atoms and distances in Å follow each position.
Sites, in units of the cell vectors:
As: 0.0000 0.0000 0.5000  2 Tc 2.36
Co: 0.5000 0.5000 0.5000  12 As 3.33
Tc: 0.0000 0.0000 0.0000  6 As 2.36
As: 0.0000 0.5000 0.0000  2 Tc 2.36
As: 0.5000 0.0000 0.0000  2 Tc 2.36

Summary:
M_tot, μB/f.u.: 1.59
E_form, meV/atom: 879
Electronic total energy, eV/cell: -108.5

---

(3)
Compound: ScCoMo2
Source: Alexandria
Functional: meta-GGA SCAN
Structure: single point on PBEsol structure

a b c (Å): 2.7105 5.0106 5.1587
angles (deg): 115.40 99.09 102.45
Closest atoms and distances in Å follow each position.
Sites, in units of the cell vectors:
Mo: 0.5000 0.5000 0.5000  4 Mo 2.58-2.71, 2 Co 2.72, 2 Sc 2.72
Co: 0.5000 0.0000 0.0000  2 Sc 2.58, 2 Co 2.71, 4 Mo 2.72
Mo: 0.0000 0.0000 0.5000  4 Mo 2.58-2.71, 2 Sc 2.72, 2 Co 2.72
Sc: 0.0000 0.5000 0.0000  2 Co 2.58, 2 Sc 2.71, 4 Mo 2.72

Summary:
Excess energy over the best structure of this formula in the dataset, meV per atom: 223
M_tot, μB/f.u.: 0.00
E_form, meV/atom: 270
Electronic total energy, eV/cell: -100.2

---

(4)
Compound: AlPt2
Source: Alexandria
Functional: meta-GGA SCAN
Structure: single point on PBEsol structure

a b c (Å): 4.0585 5.3814 7.9099
angles (deg): 90.00 90.00 90.00
Closest atoms and distances in Å follow each position.
Sites, in units of the cell vectors:
Pt: 0.7500 0.9531 0.7875  3 Al 2.54-2.60, 4 Pt 2.76-2.81
Al: 0.7500 0.8139 0.1025  8 Pt 2.54-2.84
Pt: 0.2500 0.5469 0.2875  3 Al 2.54-2.60, 4 Pt 2.76-2.81
Pt: 0.7500 0.3399 0.0692  5 Al 2.56-2.84, 2 Pt 2.81
Al: 0.7500 0.3139 0.3975  8 Pt 2.54-2.84
Al: 0.2500 0.1861 0.8975  8 Pt 2.54-2.84
Pt: 0.2500 0.6601 0.9308  5 Al 2.56-2.84, 2 Pt 2.81
Pt: 0.7500 0.4531 0.7125  3 Al 2.54-2.60, 4 Pt 2.76-2.81
Pt: 0.2500 0.1601 0.5692  5 Al 2.56-2.84, 2 Pt 2.81
Al: 0.2500 0.6861 0.6025  8 Pt 2.54-2.84
Pt: 0.2500 0.0469 0.2125  3 Al 2.54-2.60, 4 Pt 2.76-2.81
Pt: 0.7500 0.8399 0.4308  5 Al 2.56-2.84, 2 Pt 2.81

Summary:
M_tot, μB/f.u.: 0.00
E_form, meV/atom: -1001
Electronic total energy, eV/cell: -604.6